Entry 1:
A plane-wave DFT calculation with GGA-PBE was carried out for an optimized crystal structure of Cs3Al5F12.

Structure (extended XYZ):
```
80
Lattice="13.5997 0.0000 0.0000 -4.5332 12.8220 0.0000 -4.5332 -6.4110 11.1041" Properties=species:S:1:pos:R:3 pbc="T T T"
Cs 7.9332 4.0069 1.3880
Cs 7.9332 8.8151 1.3880
Cs -1.1333 5.6096 6.9401
Cs 1.1333 -0.8014 4.1641
Cs 10.1998 0.0000 2.7760
Cs 1.1333 6.4110 2.7760
Cs 3.3999 0.0000 8.3281
Cs -5.6666 6.4110 8.3281
Cs 3.3999 7.2124 6.9401
Cs 5.6666 0.8014 4.1641
Cs -3.3999 -2.4041 9.7161
Cs -3.3999 2.4041 9.7161
Al -1.1333 3.2055 2.7760
Al -2.2666 6.4110 0.0000
Al 0.0000 0.0000 0.0000
Al 3.3999 2.4041 1.3880
Al 4.5332 -3.2055 5.5521
Al 4.5332 6.4110 0.0000
Al -3.3999 7.2124 4.1641
Al 5.6666 -4.0069 9.7161
Al 5.6666 5.6096 4.1641
Al 1.1333 -3.2055 8.3281
Al 3.3999 9.6165 2.7760
Al 2.2666 3.2055 5.5521
Al 6.7999 0.0000 0.0000
Al -2.2666 -3.2055 5.5521
Al -1.1333 0.8014 6.9401
Al -1.1333 10.4178 1.3880
Al -4.5332 3.2055 5.5521
Al 7.9332 -0.8014 6.9401
Al 1.1333 4.0069 9.7161
Al 5.6666 3.2055 8.3281
F 9.6202 1.6256 0.0109
F -0.5537 4.0277 4.1497
F 10.7640 3.1772 2.7746
F 5.1023 2.3912 1.4133
F 1.6741 4.8154 8.3187
F 9.6178 6.4330 2.7666
F -1.6975 7.1969 4.1879
F -2.8357 10.4307 1.4133
F 0.5925 8.0066 8.3187
F 6.2486 6.3890 2.7666
F 6.2462 4.0089 4.1388
F 6.2462 11.1964 0.0109
F -3.9407 6.4064 5.5630
F 2.8179 4.0040 1.3642
F -3.9796 8.8131 4.1388
F 1.7129 -2.3833 6.9544
F -0.5925 1.5910 2.7775
F 2.8179 8.7959 1.4024
F 5.1023 9.6448 2.7746
F -0.5513 4.0261 1.4024
F -2.8592 8.0020 8.3266
F 3.9642 5.6250 4.1879
F 6.2073 6.4156 5.5630
F 5.0845 -2.4070 9.7399
F 0.5691 0.7860 6.9163
F -1.6741 -0.0046 5.5412
F -0.5513 8.8179 1.3642
F -0.5691 -3.2338 8.3296
F 7.3924 -1.5910 2.7775
F 5.0846 2.3849 9.7018
F 1.7153 -2.3849 9.7018
F 2.8203 8.7942 4.1497
F 5.1258 4.8200 8.3266
F 8.5128 -2.4021 6.9653
F 8.4740 0.0046 5.5412
F -1.7129 -4.7854 11.0933
F 1.7153 2.4070 9.7399
F 3.9407 -1.5956 2.7855
F -1.7153 0.0220 8.3375
F -1.7129 2.4021 6.9653
F 7.3690 -4.0198 9.6909
F 6.2308 -0.7859 6.9163
F -0.5691 4.0197 9.6909
F -5.0846 -0.0220 8.3375
F 2.8592 1.5956 2.7855
F -6.2308 3.2338 8.3296
F 5.0869 2.3833 6.9544
F -5.0869 4.7854 11.0933
```

D(E_F)   0.15 states/eV per atom
V   24.20 A^3/atom
Energy relative to the elements, uncorrected   -53.28 eV per formula unit

Entry 2:
A plane-wave DFT calculation with GGA-PBE was carried out for an optimized crystal structure of CsAlGeF6.

Structure (extended XYZ):
```
9
Lattice="-3.6770 3.0726 -3.3903 -3.1128 -2.4232 -3.9314 -4.3294 -0.7907 3.9780" Properties=species:S:1:pos:R:3 pbc="T T T"
Cs -7.8327 2.1391 0.2798
Al -4.4671 -0.2514 -0.4790
Ge -6.6321 -0.2540 -3.2166
F -2.8226 0.1732 0.2765
F -4.9756 0.8864 1.1431
F -6.2096 -0.3824 -0.9571
F -4.5751 -1.7604 0.5236
F -3.7951 -0.9761 -1.9061
F -4.3819 1.4925 -1.1296
```

D(E_F)   0.00 states/eV per atom
V   18.27 A^3/atom
Energy relative to the elements, uncorrected   -26.22 eV per formula unit

Entry 3:
A plane-wave DFT calculation with GGA-PBE was carried out for an optimized crystal structure of CsAlH4O2F4.

Structure (extended XYZ):
```
24
Lattice="3.3859 5.7842 -0.0387 -3.3859 5.7842 -0.0387 0.0000 4.9601 7.4403" Properties=species:S:1:pos:R:3 pbc="T T T"
Cs -1.8595 9.5043 5.5415
Cs 1.8595 7.0243 1.8213
Al 1.6929 2.8921 -0.0194
Al -1.6929 5.3722 3.7008
H 0.6166 7.0647 5.1164
H 0.6166 11.9439 5.9666
H -0.6166 9.4639 2.2465
H -0.6166 4.5846 1.3962
H 1.5066 8.4293 4.9107
H 1.5066 10.5793 6.1723
H -1.5066 8.0993 2.4521
H -1.5066 5.9493 1.1906
O 1.0467 7.8441 5.5827
O 1.0467 11.1645 5.5003
O -1.0467 8.6845 1.7801
O -1.0467 5.3640 1.8625
F -2.2006 6.9491 0.1663
F -2.2006 7.0995 3.4764
F 2.2006 9.5795 7.1966
F 2.2006 9.4291 3.8864
F -0.0305 13.0817 6.8345
F -0.0305 5.9269 4.2485
F 0.0305 3.4468 0.5284
F 0.0305 10.6017 3.1143
```

D(E_F)   0.00 states/eV per atom
V   12.20 A^3/atom

Entry 4:
A plane-wave DFT calculation with GGA-PBE was carried out for an optimized crystal structure of Cs2HfAlF6.

Structure (extended XYZ):
```
10
Lattice="-0.0276 -6.2740 -1.3994 1.6889 -1.3573 6.0521 -4.8856 -4.1306 3.8510" Properties=species:S:1:pos:R:3 pbc="T T T"
Cs -2.0413 -7.1101 2.3889
Cs -1.1830 -4.6518 6.1147
Hf 0.0000 0.0000 0.0000
Al 0.8307 -3.8157 2.3263
F -2.9449 -4.0237 3.3333
F -0.2794 -7.7383 5.1703
F 0.3673 -1.6874 1.0288
F 1.2940 -5.9440 3.6239
F 0.3519 -5.1869 0.2482
F 1.3094 -2.4445 4.4045
```

D(E_F)   0.00 states/eV per atom
V   24.48 A^3/atom
Energy relative to the elements, uncorrected   -28.21 eV per formula unit

no.,total DFT energy (no corrections) (Ry/atom)
1,-0.356
2,-0.381
3,-0.380
4,-0.403